28
Lattice="5.9867 0.0000 0.0000 -2.9933 5.0627 0.0242 0.0000 -0.3581 9.4823" Properties=species:S:1:pos:R:3 comment="GGA-PBEsol Li4Cu2Ni3Sb3O16, relaxed" space_group="No. 8" formation_energy_uncorrected_ev_per_fu=-35.40 pbc="T T T"
Ni 0.0000 1.2467 7.3540
Ni 1.5143 0.8012 2.6323
Ni 4.4724 0.8012 2.6323
Sb -1.4971 3.7481 7.5168
Sb 1.4971 3.7481 7.5168
Sb 2.9933 3.3044 2.5831
O -1.5342 4.2201 3.6594
O 0.0000 4.5180 6.3407
O 0.0000 2.9235 8.5872
O 2.9933 4.5569 6.4161
O 0.0000 0.0568 1.6689
O 1.5342 4.2201 3.6594
O -1.3407 2.1927 6.2979
O 1.3407 2.1927 6.2979
O 2.9933 2.8982 8.5456
O 0.0000 1.6044 3.6040
O 1.5781 2.3599 1.5243
O 4.4085 2.3599 1.5243
O 2.9933 1.5888 3.6546
O 1.3866 0.4093 8.4571
O 2.9933 0.1656 1.5740
O 4.6000 0.4093 8.4571
Cu 0.0000 3.0957 4.8148
Cu 2.9933 1.4126 0.0501
Li 0.0000 3.3895 2.2021
Li 0.0000 1.4557 0.3441
Li 0.0000 0.0656 4.6739
Li 2.9933 1.3388 5.6638


4
Lattice="-0.7950 -5.2647 0.4741 0.7769 -3.2095 -4.2035 4.1655 -3.3492 -0.0717" Properties=species:S:1:pos:R:3 comment="GGA-PBEsol Ca2ScCr, relaxed" delta_e_f_ev_per_atom=0.601 space_group="No. 225" pbc="T T T"
Sc 2.0738 -5.9117 -1.9005
Cr 0.0000 0.0000 0.0000
Ca 1.0369 -2.9559 -0.9503
Ca 3.1106 -8.8676 -2.8508


2
Lattice="-1.1319 -2.3058 -0.6785 2.3835 -0.9801 -0.6453 0.3495 -0.9969 2.8048" Properties=species:S:1:pos:R:3 comment="GGA-PBEsol PC, relaxed" delta_e_f_ev_per_atom=1.150 space_group="No. 123" pbc="T T T"
P 0.6258 -1.6430 -0.6619
C 0.0000 0.0000 0.0000


The evaluated total moment for the records listed, in turn: 0.04, 1.08, 0.00 μB/atom.
The evaluated D(E_F) for the records listed, in turn: 5.52, 4.52, 0.44 states/eV per cell.